# YScP2 PBE relaxed
# Energy above the lowest structure with this stoichiometry in eV/f.u.: 2.25
data_YScP2
_symmetry_space_group_name_H-M 'F m -3 m'
_symmetry_Int_Tables_number 225
_symmetry_space_group_name_Hall '-F 4 2 3'
_cell_length_a 6.768
_cell_length_b 6.768
_cell_length_c 6.768
_cell_angle_alpha 90.00
_cell_angle_beta 90.00
_cell_angle_gamma 90.00
loop_
_atom_site_label
_atom_site_fract_x
_atom_site_fract_y
_atom_site_fract_z
Y1 0.000 0.000 0.000
Sc1 0.000 0.000 0.500
P1 0.250 0.250 0.250

A geometry-optimized YSc2P structure. Source: the Alexandria database, functional PBE.

The structure in CIF format:
```
data_YSc2P
_symmetry_space_group_name_H-M 'I m m m'
_symmetry_Int_Tables_number 71
_symmetry_space_group_name_Hall '-I 2 2'
_cell_length_a 3.473
_cell_length_b 4.887
_cell_length_c 10.598
_cell_angle_alpha 90.00
_cell_angle_beta 90.00
_cell_angle_gamma 90.00
loop_
_atom_site_label
_atom_site_fract_x
_atom_site_fract_y
_atom_site_fract_z
Y1 0.000 0.000 0.000
Sc1 0.000 0.500 0.197
P1 0.000 0.000 0.500
```

A geometry-optimized Y3ScP4 structure. Source: the Alexandria database, functional PBE.

The structure in CIF format:
```
data_Y3ScP4
_symmetry_space_group_name_H-M 'C m m m'
_symmetry_Int_Tables_number 65
_symmetry_space_group_name_Hall '-C 2 2'
_cell_length_a 7.903
_cell_length_b 11.179
_cell_length_c 3.957
_cell_angle_alpha 90.00
_cell_angle_beta 90.00
_cell_angle_gamma 90.00
loop_
_atom_site_label
_atom_site_fract_x
_atom_site_fract_y
_atom_site_fract_z
Y1 0.000 0.000 0.000
Y2 0.250 0.250 0.500
Sc1 0.000 0.500 0.000
P1 0.000 0.255 0.000
P2 0.240 0.500 0.500
```

A geometry-optimized YSc2P structure. Source: the Alexandria database, functional PBE.

The structure in CIF format:
```
data_YSc2P
_symmetry_space_group_name_H-M 'C 1 2/m 1'
_symmetry_Int_Tables_number 12
_cell_length_a 5.895
_cell_length_b 10.290
_cell_length_c 3.374
_cell_angle_alpha 90.00
_cell_angle_beta 119.44
_cell_angle_gamma 90.00
loop_
_symmetry_equiv_pos_as_xyz
'x,y,z'
'-x,-y,-z'
'-x,y,-z'
'x,-y,z'
'x+1/2,y+1/2,z'
'-x+1/2,-y+1/2,-z'
'-x+1/2,y+1/2,-z'
'x+1/2,-y+1/2,z'
loop_
_atom_site_label
_atom_site_fract_x
_atom_site_fract_y
_atom_site_fract_z
Y1 0.000 0.000 0.000
Sc1 0.250 0.250 0.500
P1 0.000 0.500 0.000
```

A geometry-optimized YScP structure. Source: the Alexandria database, functional PBE.

The structure in CIF format:
```
data_YScP
_symmetry_space_group_name_H-M 'F -4 3 m'
_symmetry_Int_Tables_number 216
_symmetry_space_group_name_Hall 'F -4 2 3'
_cell_length_a 6.722
_cell_length_b 6.722
_cell_length_c 6.722
_cell_angle_alpha 90.00
_cell_angle_beta 90.00
_cell_angle_gamma 90.00
loop_
_atom_site_label
_atom_site_fract_x
_atom_site_fract_y
_atom_site_fract_z
Y1 0.000 0.000 0.000
Sc1 0.250 0.250 0.250
P1 0.250 0.250 0.750
```

# YScP2 PBE relaxed
# Energy above the lowest structure with this stoichiometry in eV/f.u.: 1.81
data_YScP2
_symmetry_space_group_name_H-M 'C m m m'
_symmetry_Int_Tables_number 65
_symmetry_space_group_name_Hall '-C 2 2'
_cell_length_a 4.086
_cell_length_b 5.521
_cell_length_c 7.115
_cell_angle_alpha 90.00
_cell_angle_beta 90.00
_cell_angle_gamma 90.00
loop_
_atom_site_label
_atom_site_fract_x
_atom_site_fract_y
_atom_site_fract_z
Y1 0.000 0.000 0.000
Sc1 0.000 0.000 0.500
P1 0.000 0.500 0.263

| no. | Fermi-level density of states (states/eV per atom) | calculated formation energy (eV per atom) |
| --- | --- | --- |
| 1 | 0.220 | -0.98 |
| 2 | 0.790 | -0.63 |
| 3 | 0.121 | -1.57 |
| 4 | 1.215 | -0.23 |
| 5 | 1.745 | 0.27 |
| 6 | 0.226 | -1.09 |